Dy4TlS6 | PBE | optimized geometry

Cell: 6.866 6.866 20.949 Å, 90.00 90.00 146.53°
Fractional positions:
Dy: 0.098 0.902 0.633
Dy: 0.098 0.902 0.867
Dy: 0.368 0.632 0.541
Dy: 0.368 0.632 0.959
Dy: 0.632 0.368 0.041
Dy: 0.632 0.368 0.459
Dy: 0.902 0.098 0.133
Dy: 0.902 0.098 0.367
Tl: 0.157 0.843 0.250
Tl: 0.843 0.157 0.750
S: 0.000 0.000 0.000
S: 0.000 0.000 0.500
S: 0.165 0.835 0.750
S: 0.272 0.728 0.079
S: 0.272 0.728 0.421
S: 0.465 0.535 0.651
S: 0.465 0.535 0.849
S: 0.535 0.465 0.151
S: 0.535 0.465 0.349
S: 0.728 0.272 0.579
S: 0.728 0.272 0.921
S: 0.835 0.165 0.250

Summary:
**Space-group type**: Cmcm (63)
**Mass density**: 6.383 Mg/m³
**Crystal system**: orthorhombic

Dy2Tl2S | PBE | optimized geometry

Cell: 3.745 3.745 11.356 Å, 99.60 99.60 60.02°
Fractional positions:
Dy: 0.216 0.216 0.145
Dy: 0.784 0.784 0.855
Tl: 0.043 0.043 0.632
Tl: 0.957 0.957 0.368
S: 0.500 0.500 0.000

Summary:
**Space-group type**: C2/m (12)
**Mass density**: 9.394 Mg/m³
**Crystal system**: monoclinic

DyTlS3 | PBE | optimized geometry

Cell: 7.581 3.913 8.720 Å, 90.00 104.18 90.00°
Fractional positions:
Dy: 0.226 0.250 0.176
Dy: 0.774 0.750 0.824
Tl: 0.201 0.250 0.708
Tl: 0.799 0.750 0.292
S: 0.137 0.750 0.379
S: 0.160 0.750 0.935
S: 0.480 0.750 0.304
S: 0.520 0.250 0.696
S: 0.840 0.250 0.065
S: 0.863 0.250 0.621

Summary:
**Space-group type**: P2_1/m (11)
**Mass density**: 6.132 Mg/m³
**Crystal system**: monoclinic

DyTmTl2S4 | PBE | optimized geometry

Cell: 6.934 4.003 7.870 Å, 90.00 107.06 90.00°
Fractional positions:
Dy: 0.000 0.000 0.000
Tm: 0.500 0.500 0.000
Tl: 0.000 0.500 0.500
Tl: 0.500 0.000 0.500
S: 0.235 0.500 0.197
S: 0.271 0.000 0.804
S: 0.729 0.000 0.196
S: 0.765 0.500 0.803

Summary:
**Space-group type**: P2/m (10)
**Mass density**: 6.904 Mg/m³
**Crystal system**: monoclinic

Dy4TmTlS8 | PBE | optimized geometry

Cell: 8.163 8.163 8.163 Å, 60.45 60.45 60.45°
Fractional positions:
Dy: 0.000 0.000 0.000
Dy: 0.380 0.380 0.863
Dy: 0.380 0.863 0.380
Dy: 0.863 0.380 0.380
Tm: 0.379 0.379 0.379
Tl: 0.752 0.752 0.752
S: 0.133 0.133 0.133
S: 0.135 0.135 0.602
S: 0.135 0.602 0.135
S: 0.176 0.607 0.607
S: 0.602 0.135 0.135
S: 0.607 0.176 0.607
S: 0.607 0.607 0.176
S: 0.610 0.610 0.610

Summary:
**Space-group type**: R3m (160)
**Mass density**: 5.470 Mg/m³
**Crystal system**: trigonal

Dy3TmTl4S8 | PBE | optimized geometry

Cell: 8.838 8.838 8.838 Å, 54.07 54.07 54.07°
Fractional positions:
Dy: 0.000 0.500 0.500
Dy: 0.500 0.000 0.500
Dy: 0.500 0.500 0.000
Tm: 0.000 0.000 0.000
Tl: 0.000 0.000 0.500
Tl: 0.000 0.500 0.000
Tl: 0.500 0.000 0.000
Tl: 0.500 0.500 0.500
S: 0.231 0.231 0.735
S: 0.231 0.735 0.231
S: 0.265 0.769 0.769
S: 0.267 0.267 0.267
S: 0.733 0.733 0.733
S: 0.735 0.231 0.231
S: 0.769 0.265 0.769
S: 0.769 0.769 0.265

Summary:
**Space-group type**: R-3m (166)
**Mass density**: 6.832 Mg/m³
**Crystal system**: trigonal

DyTmTlS | PBE | optimized geometry

Cell: 3.763 3.763 8.372 Å, 102.90 102.90 60.04°
Fractional positions:
Dy: 0.000 0.000 0.000
Tm: 0.202 0.202 0.605
Tl: 0.435 0.435 0.305
S: 0.601 0.601 0.801

Summary:
**Space-group type**: Cm (8)
**Mass density**: 9.503 Mg/m³
**Crystal system**: monoclinic

DyUTl2S6 | PBE | optimized geometry

Cell: 7.144 7.244 12.496 Å, 90.00 124.72 90.00°
Fractional positions:
Dy: 0.000 0.000 0.000
Dy: 0.000 0.500 0.500
U: 0.500 0.000 0.500
U: 0.500 0.500 0.000
Tl: 0.241 0.046 0.749
Tl: 0.241 0.454 0.249
Tl: 0.759 0.546 0.751
Tl: 0.759 0.954 0.251
S: 0.164 0.190 0.459
S: 0.164 0.310 0.959
S: 0.268 0.707 0.455
S: 0.268 0.793 0.955
S: 0.343 0.019 0.258
S: 0.343 0.481 0.758
S: 0.657 0.519 0.242
S: 0.657 0.981 0.742
S: 0.732 0.207 0.045
S: 0.732 0.293 0.545
S: 0.836 0.690 0.041
S: 0.836 0.810 0.541

Summary:
**Space-group type**: P2_1/c (14)
**Mass density**: 6.259 Mg/m³
**Crystal system**: monoclinic

DyUTl2S4 | PBE | optimized geometry

Cell: 6.976 4.035 7.938 Å, 90.00 107.06 90.00°
Fractional positions:
Dy: 0.000 0.000 0.000
U: 0.500 0.500 0.000
Tl: 0.000 0.500 0.500
Tl: 0.500 0.000 0.500
S: 0.232 0.500 0.196
S: 0.269 0.000 0.804
S: 0.731 0.000 0.196
S: 0.768 0.500 0.804

Summary:
**Space-group type**: P2/m (10)
**Mass density**: 7.288 Mg/m³
**Crystal system**: monoclinic

Dy3UTl4S8 | PBE | optimized geometry

Cell: 8.876 8.876 8.876 Å, 54.07 54.07 54.07°
Fractional positions:
Dy: 0.000 0.500 0.500
Dy: 0.500 0.000 0.500
Dy: 0.500 0.500 0.000
U: 0.000 0.000 0.000
Tl: 0.000 0.000 0.500
Tl: 0.000 0.500 0.000
Tl: 0.500 0.000 0.000
Tl: 0.500 0.500 0.500
S: 0.232 0.232 0.733
S: 0.232 0.733 0.232
S: 0.267 0.768 0.768
S: 0.268 0.268 0.268
S: 0.732 0.732 0.732
S: 0.733 0.232 0.232
S: 0.768 0.267 0.768
S: 0.768 0.768 0.267

Summary:
**Space-group type**: R-3m (166)
**Mass density**: 7.014 Mg/m³
**Crystal system**: trigonal

DyU3Tl3S8 | PBE | optimized geometry

Cell: 8.891 8.891 8.891 Å, 53.65 53.65 53.65°
Fractional positions:
Dy: 0.000 0.000 0.000
U: 0.000 0.500 0.500
U: 0.500 0.000 0.500
U: 0.500 0.500 0.000
Tl: 0.000 0.000 0.500
Tl: 0.000 0.500 0.000
Tl: 0.500 0.000 0.000
S: 0.232 0.232 0.730
S: 0.232 0.730 0.232
S: 0.268 0.268 0.268
S: 0.270 0.768 0.768
S: 0.730 0.232 0.232
S: 0.732 0.732 0.732
S: 0.768 0.270 0.768
S: 0.768 0.768 0.270

Summary:
**Space-group type**: R-3m (166)
**Mass density**: 6.853 Mg/m³
**Crystal system**: trigonal

Dy4UTlS8 | PBE | optimized geometry

Cell: 8.192 8.192 8.192 Å, 60.40 60.40 60.40°
Fractional positions:
Dy: 0.000 0.000 0.000
Dy: 0.380 0.380 0.865
Dy: 0.380 0.865 0.380
Dy: 0.865 0.380 0.380
U: 0.377 0.377 0.377
Tl: 0.753 0.753 0.753
S: 0.129 0.129 0.604
S: 0.129 0.604 0.129
S: 0.133 0.133 0.133
S: 0.177 0.607 0.607
S: 0.604 0.129 0.129
S: 0.607 0.177 0.607
S: 0.607 0.607 0.177
S: 0.610 0.610 0.610

Summary:
**Space-group type**: R3m (160)
**Mass density**: 5.711 Mg/m³
**Crystal system**: trigonal

Number 1: raw total energy -5.946 eV per atom. Number 2: raw total energy -4.465 eV per atom. Number 3: raw total energy -4.878 eV per atom. Number 4: raw total energy -5.278 eV per atom. Number 5: raw total energy -5.978 eV per atom. Number 6: raw total energy -5.287 eV per atom. Number 7: raw total energy -5.015 eV per atom. Number 8: raw total energy -5.530 eV per atom. Number 9: raw total energy -5.876 eV per atom. Number 10: raw total energy -5.580 eV per atom. Number 11: raw total energy -6.460 eV per atom. Number 12: raw total energy -6.308 eV per atom.